# 1
TcNiOs | PBE-GGA | optimized geometry

For the offset from the most stable computed form, the calculation gives 0 meV per atom. Its formation energy is 0.018 eV/atom. The calculated total energy comes out at -9.107 eV/atom.

It has space group Imm2 (No. 44), with a = 2.682 Å, b = 3.791 Å, c = 7.876 Å, α = 90.00°, β = 90.00° and γ = 90.00°. The inequivalent atoms are Tc at (0.000, 0.000, 0.000), Ni at (0.000, 0.000, 0.667) and Os at (0.000, 0.000, 0.332).



# 2
Tb3Ga4Au4 | PBE-GGA | optimized geometry

For the offset from the most stable computed form, the calculation gives 0 meV per atom. Its formation energy is -0.700 eV/atom. The calculated total energy comes out at -4.255 eV/atom.

It has space group P-1 (No. 2), with a = 3.608 Å, b = 4.506 Å, c = 14.356 Å, α = 81.03°, β = 82.85° and γ = 89.98°. The inequivalent atoms are Tb at (0.000, 0.000, 0.000), Tb at (0.143, 0.643, 0.715), Ga at (0.259, 0.259, 0.481), Ga at (0.404, 0.905, 0.189), Au at (0.313, 0.813, 0.374) and Au at (0.452, 0.450, 0.099).



# 3
Hf8Rh2O | PBE-GGA | optimized geometry

Its energy relative to the elements, uncorrected is -0.804 eV per atom. The calculated total energy comes out at -9.830 eV/atom.

It has space group C2/m (No. 12), with a = 16.329 Å, b = 3.280 Å, c = 7.896 Å, α = 90.00°, β = 98.90° and γ = 90.00°. The inequivalent atoms are Hf at (0.016, 0.000, 0.205), Hf at (0.089, 0.500, 0.539), Hf at (0.145, 0.500, 0.004), Hf at (0.203, 0.000, 0.345), Rh at (0.186, 0.000, 0.767) and O at (0.000, 0.500, 0.000).



- Which value of calculated total energy does entry 1 give?
  -9.107 eV/atom